The following is a PBE-GGA calculation of a relaxed ScZnGaTe2 crystal, from Alexandria.

Properties
Raw total energy, eV for the cell shown: -16.6
Energy relative to the elements, uncorrected, meV per atom: 70.2
Fermi-level density of states, states/eV/f.u.: 6.3
Symmetry: P4/mmm (123)
Density, g cm⁻³: 5.1
Total moment, μB/cell: 0.5

a b c (Å): 5.575 5.575 4.529
angles (deg): 90.00 90.00 90.00
Fractional positions:
1 Sc 0.000 0.000 0.000
2 Zn 0.500 0.500 0.000
3 Ga 0.500 0.500 0.500
4 Te 0.000 0.500 0.500
5 Te 0.500 0.000 0.500

The following is a PBE-GGA calculation of a relaxed ScZn2GaTe crystal, from Alexandria.

Properties
Raw total energy, eV for the cell shown: -12.2
Energy relative to the elements, uncorrected, meV per atom: 567.0
Fermi-level density of states, states/eV/f.u.: 3.5
Symmetry: P4/mmm (123)
Density, g cm⁻³: 4.2
Total moment, μB/cell: 0.0

a b c (Å): 5.248 5.248 5.398
angles (deg): 90.00 90.00 90.00
Fractional positions:
1 Sc 0.000 0.000 0.000
2 Zn 0.000 0.500 0.000
3 Zn 0.500 0.000 0.000
4 Ga 0.000 0.000 0.500
5 Te 0.500 0.500 0.500

The following is a PBE-GGA calculation of a relaxed ThSc2Ga crystal, from Alexandria.

Properties
Raw total energy, eV for the cell shown: -23.4
Formation enthalpy at 0 K, meV per atom: -76
Fermi-level density of states, states/eV/f.u.: 5.2
Distance to the lowest polymorph of the same formula, eV/atom: 0.230
Symmetry: R3m (160)
Density, g cm⁻³: 6.3
Total moment, μB/cell: 0.0

a b c (Å): 5.978 5.978 5.978
angles (deg): 46.53 46.53 46.53
Fractional positions:
1 Th 0.000 0.000 0.000
2 Sc 0.546 0.546 0.546
3 Sc 0.785 0.785 0.785
4 Ga 0.201 0.201 0.201

The following is a PBE-GGA calculation of a relaxed Th2Sc3Ga4 crystal, from Alexandria.

Properties
Raw total energy, eV for the cell shown: -102.2
Formation enthalpy at 0 K, meV per atom: -573
Fermi-level density of states, states/eV/f.u.: 7.6
Distance to the lowest polymorph of the same formula, eV/atom: 0.000
Symmetry: P2_1/c (14)
Density, g cm⁻³: 7.0
Total moment, μB/cell: 0.0

a b c (Å): 7.672 7.654 7.414
angles (deg): 90.00 108.14 90.00
Fractional positions:
1 Th 0.193 0.174 0.071
2 Th 0.193 0.326 0.571
3 Th 0.807 0.674 0.429
4 Th 0.807 0.826 0.929
5 Sc 0.247 0.674 0.249
6 Sc 0.247 0.826 0.749
7 Sc 0.500 0.000 0.500
8 Sc 0.500 0.500 0.000
9 Sc 0.753 0.174 0.251
10 Sc 0.753 0.326 0.751
11 Ga 0.081 0.538 0.867
12 Ga 0.081 0.962 0.367
13 Ga 0.497 0.123 0.870
14 Ga 0.497 0.377 0.370
15 Ga 0.503 0.623 0.630
16 Ga 0.503 0.877 0.130
17 Ga 0.919 0.038 0.633
18 Ga 0.919 0.462 0.133